[1]
VASP calculation (PBE) on an optimized crystal structure of Hf2MnHg2.

Cell: 7.158 7.158 4.073 Å, 90.00 90.00 90.00°
Sites, in units of the cell vectors:
Hg1 0.139 0.361 0.000
Mn1 0.000 0.000 0.000
Hg2 0.361 0.861 0.000
Mn2 0.500 0.500 0.000
Hg3 0.639 0.139 0.000
Hf1 0.168 0.668 0.500
Hg4 0.861 0.639 0.000
Hf2 0.668 0.832 0.500
Hf3 0.332 0.168 0.500
Hf4 0.832 0.332 0.500

Space-group type ... No. 127
VASP energy ... -5.736 eV per atom
Calculated density ... 12.9 g/cm3
Formation energy ... 0.200 eV per atom

---

[2]
VASP calculation (PBE) on an optimized crystal structure of HfMnHg2Se.

Cell: 5.633 5.015 5.633 Å, 90.00 90.00 90.00°
Sites, in units of the cell vectors:
Hg1 0.500 0.000 0.000
Hg2 0.000 0.000 0.500
Se1 0.000 0.500 0.000
Mn1 0.500 0.500 0.500
Hf1 0.000 0.000 0.000

Space-group type ... No. 123
VASP energy ... -4.172 eV per atom
Energy relative to the elements, uncorrected ... 0.4706 eV/atom
Calculated density ... 7.4 g/cm3

---

[3]
VASP calculation (PBE) on an optimized crystal structure of SrHfMnHg2.

Cell: 5.473 6.089 5.473 Å, 90.00 90.00 90.00°
Sites, in units of the cell vectors:
Mn1 0.500 0.500 0.500
Hg1 0.000 0.000 0.500
Sr1 0.000 0.500 0.000
Hf1 0.000 0.000 0.000
Hg2 0.500 0.000 0.000

Space-group type ... No. 123
VASP energy ... -3.215 eV per atom
Calculated density ... 6.6 g/cm3
Formation energy ... 1.067 eV per atom

---

[4]
VASP calculation (PBE) on an optimized crystal structure of HfTiMnHg.

Cell: 3.117 3.117 7.110 Å, 90.00 90.00 90.00°
Sites, in units of the cell vectors:
Hg1 0.000 0.000 0.091
Hf1 0.500 0.500 0.779
Mn1 0.000 0.000 0.551
Ti1 0.500 0.500 0.364

Space-group type ... No. 99
VASP energy ... -6.987 eV per atom
Calculated density ... 11.6 g/cm3
Formation energy ... -0.157 eV per atom

---

[5]
VASP calculation (PBE) on an optimized crystal structure of Hf2HgMo.

Cell: 3.414 3.414 6.845 Å, 90.00 90.00 90.00°
Sites, in units of the cell vectors:
Hf1 0.000 0.000 0.223
Mo1 0.500 0.500 0.000
Hg1 0.500 0.500 0.500
Hf2 0.000 0.000 0.777

Space-group type ... No. 123
VASP energy ... -7.924 eV per atom
Calculated density ... 13.6 g/cm3
Formation energy ... -0.164 eV per atom

---

[6]
VASP calculation (PBE) on an optimized crystal structure of Hf2HgMo.

Cell: 4.157 4.157 10.325 Å, 78.39 78.39 90.00°
Sites, in units of the cell vectors:
Hf1 0.875 0.864 0.750
Mo1 0.500 0.500 0.000
Hg1 0.000 0.000 0.000
Hf2 0.375 0.386 0.750
Hf3 0.136 0.625 0.250
Hf4 0.614 0.125 0.250
Hg2 0.750 0.250 0.500
Mo2 0.250 0.750 0.500

Space-group type ... No. 122
VASP energy ... -7.086 eV per atom
Calculated density ... 12.7 g/cm3
Formation energy ... 0.674 eV per atom

---

[7]
VASP calculation (PBE) on an optimized crystal structure of Hf6Hg3Mo.

Cell: 7.915 6.666 8.345 Å, 90.00 92.22 90.00°
Sites, in units of the cell vectors:
Hf1 0.840 0.660 0.939
Hg1 0.000 0.000 0.500
Mo1 0.000 0.000 0.000
Hf2 0.815 0.627 0.555
Hg2 0.542 0.808 0.744
Hg3 0.500 0.500 0.000
Hf3 0.685 0.127 0.945
Mo2 0.500 0.500 0.500
Hg4 0.458 0.192 0.256
Hf4 0.309 0.161 0.751
Hg5 0.042 0.692 0.244
Hf5 0.691 0.839 0.249
Hf6 0.191 0.661 0.749
Hf7 0.809 0.339 0.251
Hf8 0.660 0.160 0.561
Hg6 0.958 0.308 0.756
Hf9 0.160 0.340 0.061
Hf10 0.185 0.373 0.445
Hf11 0.315 0.873 0.055
Hf12 0.340 0.840 0.439

Space-group type ... No. 14
VASP energy ... -6.946 eV per atom
Calculated density ... 13.4 g/cm3
Formation energy ... 0.200 eV per atom

---

[8]
VASP calculation (PBE) on an optimized crystal structure of HfHgMo3.

Cell: 4.803 4.803 4.803 Å, 90.00 90.00 90.00°
Sites, in units of the cell vectors:
Mo1 0.000 0.000 0.500
Hf1 0.000 0.000 0.000
Mo2 0.000 0.500 0.000
Mo3 0.500 0.000 0.000
Hg1 0.500 0.500 0.500

Space-group type ... No. 221
VASP energy ... -6.655 eV per atom
Calculated density ... 10.0 g/cm3
Formation energy ... 1.894 eV per atom

---

[9]
VASP calculation (PBE) on an optimized crystal structure of HfHg2Mo.

Cell: 4.040 4.040 10.882 Å, 79.30 79.30 90.00°
Sites, in units of the cell vectors:
Hg1 0.616 0.125 0.250
Hg2 0.375 0.384 0.750
Mo1 0.250 0.750 0.500
Hg3 0.875 0.866 0.750
Mo2 0.500 0.500 0.000
Hf1 0.750 0.250 0.500
Hg4 0.134 0.625 0.250
Hf2 0.000 0.000 0.000

Space-group type ... No. 122
VASP energy ... -4.770 eV per atom
Calculated density ... 13.1 g/cm3
Formation energy ... 0.577 eV per atom

---

[10]
VASP calculation (PBE) on an optimized crystal structure of HfHgMo3.

Cell: 4.899 4.899 4.899 Å, 90.00 90.00 90.00°
Sites, in units of the cell vectors:
Mo1 0.000 0.000 0.500
Mo2 0.500 0.000 0.000
Hg1 0.000 0.000 0.000
Mo3 0.000 0.500 0.000
Hf1 0.500 0.500 0.500

Space-group type ... No. 221
VASP energy ... -6.239 eV per atom
Calculated density ... 9.4 g/cm3
Formation energy ... 2.311 eV per atom

---

[11]
VASP calculation (PBE) on an optimized crystal structure of Hf2HgMo.

Cell: 3.270 3.270 9.167 Å, 79.72 79.72 60.00°
Sites, in units of the cell vectors:
Hf1 0.742 0.742 0.774
Hf2 0.258 0.258 0.226
Hg1 0.500 0.500 0.500
Mo1 0.000 0.000 0.000

Space-group type ... No. 166
VASP energy ... -7.729 eV per atom
Calculated density ... 13.1 g/cm3
Formation energy ... 0.031 eV per atom

---

no.,total magnetic moment (μB per cell)
1,6.553
2,4.717
3,4.025
4,0.000
5,0.000
6,0.000
7,0.000
8,0.000
9,0.000
10,0.000
11,0.000